[1]
Material: ZrBeTcC2
Method: DFT, PBE-GGA
State: relaxed

Results
total energy = -5.9951 eV per atom
formation enthalpy at 0 K = 2223 meV per atom
total magnetic moment = 3.15 μB/cell
Fermi-level density of states = 2.572 states/eV/cell

Geometry as POSCAR:
```
ZrBeTcC2
1.0
4.188 0.000 0.000
0.000 4.568 0.000
0.000 0.000 4.188
C Tc Zr Be
2 1 1 1
Cartesian
2.094 0.000 0.000
0.000 0.000 2.094
2.094 2.284 2.094
0.000 0.000 0.000
0.000 2.284 0.000
```



[2]
Material: Pm8Dy2Ho3
Method: DFT, PBE-GGA
State: relaxed

Results
total energy = -4.4797 eV per atom
formation enthalpy at 0 K = 208 meV per atom
excess energy over the best structure of this formula in the dataset = 194 meV per atom
total magnetic moment = 0.00 μB/cell
Fermi-level density of states = 19.070 states/eV/cell

Geometry as POSCAR:
```
Pm8Dy2Ho3
1.0
-4.549 -3.406 -0.468
3.186 -4.938 4.971
-6.050 7.365 5.235
Ho Pm Dy
3 8 2
Cartesian
0.910 -1.410 1.419
2.276 -3.528 3.551
-2.275 -1.703 -0.234
-7.470 -0.194 4.595
-1.694 1.139 8.176
-5.132 1.140 6.874
0.057 -0.785 5.143
-5.719 -2.118 1.562
-6.443 3.172 4.829
-0.970 -4.151 4.909
-2.281 -2.119 2.864
-4.412 0.650 3.473
-3.001 -1.629 6.265
```



[3]
Material: TlCoBi
Method: DFT, PBE-GGA
State: relaxed

Results
total energy = -3.5938 eV per atom
formation enthalpy at 0 K = 857 meV per atom
total magnetic moment = 1.89 μB/cell
Fermi-level density of states = 4.225 states/eV/cell

Geometry as POSCAR:
```
TlCoBi
1.0
-0.201 3.592 3.402
-3.640 0.031 3.356
0.995 -1.023 4.741
Co Bi Tl
1 1 1
Cartesian
0.000 0.000 0.000
-0.712 0.650 2.875
-1.423 1.300 5.750
```



[4]
Material: Li3InBi2
Method: DFT, PBE-GGA
State: relaxed

Results
total energy = -3.0407 eV per atom
formation enthalpy at 0 K = -334 meV per atom
total magnetic moment = 0.00 μB/cell
Fermi-level density of states = 1.530 states/eV/cell

Geometry as POSCAR:
```
Li3InBi2
1.0
3.419 0.000 0.000
0.000 3.419 0.000
0.000 0.000 11.638
In Li Bi
1 3 2
Cartesian
1.709 1.709 5.819
0.000 0.000 7.651
0.000 0.000 0.000
0.000 0.000 3.987
1.709 1.709 2.063
1.709 1.709 9.575
```



[5]
Material: MnTl2Ir
Method: DFT, PBE-GGA
State: relaxed

Results
total energy = -5.2828 eV per atom
formation enthalpy at 0 K = 408 meV per atom
excess energy over the best structure of this formula in the dataset = 128 meV per atom
total magnetic moment = 4.00 μB/cell
Fermi-level density of states = 2.813 states/eV/cell

Geometry as POSCAR:
```
MnTl2Ir
1.0
3.924 0.000 0.000
0.000 4.163 0.035
0.000 2.082 5.205
Mn Tl Ir
1 2 1
Cartesian
1.962 3.897 4.032
0.000 5.974 4.800
1.962 1.832 1.735
0.000 3.910 2.533
```



[6]
Material: AgMoSe
Method: DFT, PBE-GGA
State: relaxed

Results
total energy = -5.3314 eV per atom
excess energy over the best structure of this formula in the dataset = 307 meV per atom
energy relative to the elements, uncorrected = 0.39 eV/atom
total magnetic moment = 0.00 μB/cell
Fermi-level density of states = 1.674 states/eV/cell

Geometry as POSCAR:
```
AgMoSe
1.0
-1.359 2.882 2.844
1.966 -3.550 1.330
3.012 1.600 -0.183
Ag Mo Se
1 1 1
Cartesian
0.000 0.000 0.000
1.256 1.538 2.248
2.364 -0.606 1.744
```



[7]
Material: Dy3Ho4ThSe8
Method: DFT, PBE-GGA
State: relaxed

Results
total energy = -5.9087 eV per atom
energy relative to the elements, uncorrected = -1.70 eV/atom
total magnetic moment = 0.00 μB/cell
Fermi-level density of states = 11.114 states/eV/cell

Geometry as POSCAR:
```
Dy3Ho4ThSe8
1.0
8.167 0.000 0.000
0.000 8.173 -0.005
-4.083 -4.083 5.780
Ho Se Dy Th
4 8 3 1
Cartesian
0.000 0.000 0.000
4.083 0.000 0.000
-2.042 -2.041 2.890
2.042 -2.041 2.890
0.000 -0.009 2.881
-2.005 -2.087 5.771
4.083 -0.009 2.830
4.083 4.100 2.894
2.078 6.178 0.004
2.005 -2.087 5.771
0.000 4.100 2.945
6.089 6.178 0.004
-2.042 2.045 2.887
4.083 4.087 -0.003
2.042 2.045 2.887
0.000 4.087 -0.003
```



[8]
Material: PmPr3Tl3
Method: DFT, PBE-GGA
State: relaxed

Results
total energy = -3.9476 eV per atom
formation enthalpy at 0 K = -207 meV per atom
excess energy over the best structure of this formula in the dataset = 84 meV per atom
total magnetic moment = 0.00 μB/cell
Fermi-level density of states = 17.638 states/eV/cell

Geometry as POSCAR:
```
PmPr3Tl3
1.0
-2.591 -3.500 5.345
6.770 0.565 1.175
-1.650 8.660 4.740
Tl Pr Pm
6 6 2
Cartesian
-1.122 6.535 3.852
2.722 2.386 2.060
3.651 -0.810 7.408
3.903 5.118 7.376
-1.374 0.607 3.884
-0.193 3.339 9.200
4.582 -0.385 2.150
-0.402 -2.550 4.370
1.897 1.051 5.283
0.632 4.674 5.977
4.279 4.172 4.287
-1.750 1.553 6.973
1.111 -0.459 2.047
1.418 6.184 9.213
```



[9]
Material: Ti3TlTe
Method: DFT, PBE-GGA
State: relaxed

Results
total energy = -5.2267 eV per atom
excess energy over the best structure of this formula in the dataset = 0 meV per atom
energy relative to the elements, uncorrected = 0.61 eV/atom
total magnetic moment = 3.03 μB/cell
Fermi-level density of states = 5.632 states/eV/cell

Geometry as POSCAR:
```
Ti3TlTe
1.0
5.031 0.000 0.000
0.000 5.031 0.000
0.000 0.000 5.031
Tl Ti Te
1 3 1
Cartesian
2.515 2.515 2.515
0.000 0.000 2.515
0.000 2.515 0.000
2.515 0.000 0.000
0.000 0.000 0.000
```



[10]
Material: K3Pr2BiO6
Method: DFT, PBE-GGA
State: relaxed

Results
total energy = -6.0451 eV per atom
energy relative to the elements, uncorrected = -2.17 eV/atom
total magnetic moment = 0.00 μB/cell
Fermi-level density of states = 0.000 states/eV/cell

Geometry as POSCAR:
```
K3Pr2BiO6
1.0
6.332 -0.001 0.001
-3.165 5.484 0.001
-1.055 -1.828 6.325
O Pr K Bi
6 2 3 1
Cartesian
2.125 0.000 1.239
-0.014 3.656 5.087
-1.062 1.841 1.239
0.007 0.013 5.087
3.173 1.815 5.087
2.104 3.643 1.240
3.168 1.826 0.001
-0.001 3.657 0.001
4.255 -0.020 3.163
-2.143 3.675 3.163
1.056 1.828 3.163
0.000 0.000 0.000
```



[11]
Material: LaCdTc2
Method: DFT, PBE-GGA
State: relaxed

Results
total energy = -5.8674 eV per atom
formation enthalpy at 0 K = 776 meV per atom
total magnetic moment = 0.00 μB/cell
Fermi-level density of states = 7.044 states/eV/cell

Geometry as POSCAR:
```
LaCdTc2
1.0
-0.478 -2.650 3.383
4.128 -1.229 -0.379
4.571 5.395 7.637
Tc Cd La
4 2 2
Cartesian
1.313 -0.721 4.307
7.026 0.532 8.319
4.393 2.712 6.891
3.710 0.509 1.764
1.825 -1.939 1.502
5.262 1.114 4.380
2.959 0.403 6.261
0.000 0.000 0.000
```



[12]
Material: LiLa2Cl
Method: DFT, PBE-GGA
State: relaxed

Results
total energy = -4.0164 eV per atom
excess energy over the best structure of this formula in the dataset = 68 meV per atom
energy relative to the elements, uncorrected = -0.61 eV/atom
total magnetic moment = 0.00 μB/cell
Fermi-level density of states = 3.767 states/eV/cell

Geometry as POSCAR:
```
LiLa2Cl
1.0
-3.618 1.397 -2.118
-3.921 -1.874 0.799
-3.649 4.492 4.660
La Li Cl
2 1 1
Cartesian
-5.557 1.834 1.480
-7.575 -0.303 -1.128
-8.390 3.012 2.506
-2.797 1.004 0.835
```